## PtCl5F (PBE)

Data for a geometry-optimized PtCl5F structure.

Cell: 7.0081 7.0081 7.0081 Å, 106.67 87.85 138.64°
Fractional coordinates of all 7 atoms:
Pt1 0.0000 0.0000 0.0000
Cl1 0.2249 0.9969 0.2280
Cl2 0.4845 0.4845 0.0000
Cl3 0.7689 0.9969 0.7720
Cl4 0.9109 0.1835 0.2726
Cl5 0.9109 0.6383 0.7274
F1 0.0699 0.5699 0.5000

ΔE_f (raw): -137 meV/atom

## Ac4Ag3Au (PBE)

Data for a geometry-optimized Ac4Ag3Au structure.

Cell: 4.2627 5.0156 11.8863 Å, 90.00 90.00 90.00°
Fractional coordinates of all 8 atoms:
Ac1 0.0000 0.0000 0.0000
Ac2 0.0000 0.5000 0.2730
Ac3 0.5000 0.0000 0.4928
Ac4 0.5000 0.5000 0.7753
Ag1 0.0000 0.0000 0.7109
Ag2 0.0000 0.5000 0.5587
Ag3 0.5000 0.5000 0.0572
Au1 0.5000 0.0000 0.2164

formation energy from the elements: -0.406 eV/atom

## Dy2CuAg3 (PBE)

Data for a geometry-optimized Dy2CuAg3 structure.

Cell: 3.6808 3.6808 9.2023 Å, 90.00 90.00 90.00°
Fractional coordinates of all 6 atoms:
Dy1 0.0000 0.0000 0.0000
Dy2 0.5000 0.5000 0.4848
Cu1 0.5000 0.5000 0.1591
Ag1 0.0000 0.0000 0.3144
Ag2 0.0000 0.0000 0.6626
Ag3 0.5000 0.5000 0.8237

formation energy from the elements: -0.263 eV/atom
offset from the most stable computed form: 0 meV per atom

## TiBr3 (PBE)

Data for a geometry-optimized TiBr3 structure.

Cell: 7.1315 7.1315 7.1315 Å, 97.73 97.73 136.97°
Fractional coordinates of all 8 atoms:
Ti1 0.0000 0.0000 0.0000
Ti2 0.7500 0.2500 0.5000
Br1 0.2500 0.7500 0.5000
Br2 0.3750 0.2324 0.3574
Br3 0.5000 0.5000 0.0000
Br4 0.7676 0.1250 0.1426
Br5 0.8750 0.0176 0.6426
Br6 0.9824 0.6250 0.8574

ΔE_f (raw): -899 meV/atom

## Mn2Ag4S (PBE)

Data for a geometry-optimized Mn2Ag4S structure.

Cell: 7.4687 7.4687 7.4687 Å, 141.51 141.51 55.56°
Fractional coordinates of all 7 atoms:
Mn1 0.1087 0.1087 0.0000
Mn2 0.8913 0.8913 0.0000
Ag1 0.0000 0.5000 0.5000
Ag2 0.3050 0.3050 0.0000
Ag3 0.5000 0.0000 0.5000
Ag4 0.6950 0.6950 0.0000
S1 0.5000 0.5000 0.0000

ΔE_f (raw): 725 meV/atom

## PrNd2Y8 (PBE)

Data for a geometry-optimized PrNd2Y8 structure.

Cell: 10.2311 10.2311 5.6219 Å, 92.77 92.77 40.50°
Fractional coordinates of all 11 atoms:
Pr1 0.0000 0.0000 0.0000
Nd1 0.2846 0.2846 0.7499
Nd2 0.7154 0.7154 0.2501
Y1 0.1346 0.6031 0.2693
Y2 0.1867 0.1867 0.2327
Y3 0.3969 0.8654 0.7307
Y4 0.4534 0.4534 0.7631
Y5 0.5466 0.5466 0.2369
Y6 0.6031 0.1346 0.2693
Y7 0.8133 0.8133 0.7673
Y8 0.8654 0.3969 0.7307

formation energy from the elements: 0.148 eV/atom
offset from the most stable computed form: 0 meV per atom

## TbPm4Sm5 (PBE)

Data for a geometry-optimized TbPm4Sm5 structure.

Cell: 8.1088 8.1088 8.1088 Å, 98.27 98.27 135.42°
Fractional coordinates of all 10 atoms:
Tb1 0.0000 0.0000 0.0000
Pm1 0.2193 0.5442 0.3241
Pm2 0.2201 0.8952 0.6759
Pm3 0.5442 0.2201 0.3249
Pm4 0.8952 0.2193 0.6751
Sm1 0.4671 0.4671 0.0000
Sm2 0.5483 0.5490 0.6223
Sm3 0.5490 0.9267 0.0007
Sm4 0.9260 0.5483 0.9993
Sm5 0.9267 0.9260 0.3777

formation energy from the elements: 0.237 eV/atom
offset from the most stable computed form: 25 meV per atom

## ReOsBr (PBE)

Data for a geometry-optimized ReOsBr structure.

Cell: 4.2922 4.2922 4.2922 Å, 60.00 60.00 60.00°
Fractional coordinates of all 3 atoms:
Re1 0.0000 0.0000 0.0000
Os1 0.2500 0.2500 0.2500
Br1 0.7500 0.7500 0.7500

offset from the most stable computed form: 244 meV per atom
ΔE_f (raw): 1310 meV/atom

## Si2HgMo (PBE)

Data for a geometry-optimized Si2HgMo structure.

Cell: 4.5571 4.5571 5.1736 Å, 96.28 96.28 40.93°
Fractional coordinates of all 4 atoms:
Si1 0.2253 0.2253 0.1683
Si2 0.7747 0.7747 0.8317
Hg1 0.0000 0.0000 0.5000
Mo1 0.5000 0.5000 0.0000

ΔE_f (raw): 244 meV/atom

## La8Nd3Er (PBE)

Data for a geometry-optimized La8Nd3Er structure.

Cell: 8.8606 8.8606 8.8606 Å, 134.30 100.99 96.38°
Fractional coordinates of all 12 atoms:
La1 0.0829 0.2469 0.8360
La2 0.2713 0.2233 0.4946
La3 0.2713 0.7767 0.0480
La4 0.4109 0.2469 0.1640
La5 0.5891 0.7531 0.8360
La6 0.7287 0.2233 0.9520
La7 0.7287 0.7767 0.5054
La8 0.9171 0.7531 0.1640
Nd1 0.2527 0.7527 0.5000
Nd2 0.5000 0.5000 0.0000
Nd3 0.7473 0.2473 0.5000
Er1 0.0000 0.0000 0.0000

formation energy from the elements: 0.277 eV/atom

## CdCu7Pd12 (PBE)

Data for a geometry-optimized CdCu7Pd12 structure.

Cell: 6.8963 6.8963 6.8963 Å, 97.10 97.10 97.10°
Fractional coordinates of all 20 atoms:
Cd1 0.0000 0.0000 0.0000
Cu1 0.0682 0.0682 0.3761
Cu2 0.0682 0.3761 0.0682
Cu3 0.3761 0.0682 0.0682
Cu4 0.5000 0.5000 0.5000
Cu5 0.6239 0.9318 0.9318
Cu6 0.9318 0.6239 0.9318
Cu7 0.9318 0.9318 0.6239
Pd1 0.1466 0.4371 0.4371
Pd2 0.2301 0.2301 0.7568
Pd3 0.2301 0.7568 0.2301
Pd4 0.2432 0.7699 0.7699
Pd5 0.4371 0.1466 0.4371
Pd6 0.4371 0.4371 0.1466
Pd7 0.5629 0.5629 0.8534
Pd8 0.5629 0.8534 0.5629
Pd9 0.7568 0.2301 0.2301
Pd10 0.7699 0.2432 0.7699
Pd11 0.7699 0.7699 0.2432
Pd12 0.8534 0.5629 0.5629

formation energy from the elements: 0.227 eV/atom

## Ce2YCd2In2 (PBE)

Data for a geometry-optimized Ce2YCd2In2 structure.

Cell: 9.4690 9.4690 9.4690 Å, 29.42 29.42 29.42°
Fractional coordinates of all 7 atoms:
Ce1 0.1435 0.1435 0.1435
Ce2 0.8565 0.8565 0.8565
Y1 0.0000 0.0000 0.0000
Cd1 0.4134 0.4134 0.4134
Cd2 0.5866 0.5866 0.5866
In1 0.2701 0.2701 0.2701
In2 0.7299 0.7299 0.7299

formation energy from the elements: -0.212 eV/atom

## KAs2Cl (PBE)

Data for a geometry-optimized KAs2Cl structure.

Cell: 10.1948 10.1948 10.1948 Å, 18.80 18.80 18.80°
Fractional coordinates of all 4 atoms:
K1 0.0000 0.0000 0.0000
As1 0.2384 0.2384 0.2384
As2 0.7616 0.7616 0.7616
Cl1 0.5000 0.5000 0.5000

offset from the most stable computed form: 1127 meV per atom
ΔE_f (raw): 426 meV/atom

## Tb2Pr5TmSc (PBE)

Data for a geometry-optimized Tb2Pr5TmSc structure.

Cell: 11.3197 11.3197 10.3020 Å, 90.00 90.00 152.34°
Fractional coordinates of all 18 atoms:
Tb1 0.1151 0.8849 0.5000
Tb2 0.1149 0.8851 0.9952
Tb3 0.8849 0.1151 0.0000
Tb4 0.8851 0.1149 0.4952
Pr1 0.9997 0.0003 0.2476
Pr2 0.0003 0.9997 0.7476
Pr3 0.2782 0.7218 0.0601
Pr4 0.2785 0.7215 0.4359
Pr5 0.3720 0.6280 0.7477
Pr6 0.5001 0.4999 0.4975
Pr7 0.4999 0.5001 0.9975
Pr8 0.6280 0.3720 0.2477
Pr9 0.7218 0.2782 0.5601
Pr10 0.7215 0.2785 0.9359
Tm1 0.3979 0.6021 0.2476
Tm2 0.6021 0.3979 0.7476
Sc1 0.2104 0.7896 0.7479
Sc2 0.7896 0.2104 0.2479

formation energy from the elements: 0.121 eV/atom

## HfCrHIr2 (PBE)

Data for a geometry-optimized HfCrHIr2 structure.

Cell: 4.0670 4.0670 3.8901 Å, 90.00 90.00 90.00°
Fractional coordinates of all 5 atoms:
Hf1 0.0000 0.0000 0.0000
Cr1 0.5000 0.5000 0.0000
H1 0.5000 0.5000 0.5000
Ir1 0.0000 0.5000 0.5000
Ir2 0.5000 0.0000 0.5000

uncorrected energy: -8.55 eV per atom

## Na2Ni3As4 (PBE)

Data for a geometry-optimized Na2Ni3As4 structure.

Cell: 8.1259 7.1696 5.3949 Å, 79.21 60.08 40.71°
Fractional coordinates of all 9 atoms:
Na1 0.1371 0.1371 0.8629
Na2 0.8629 0.8629 0.1371
Ni1 0.0000 0.0000 0.5000
Ni2 0.5000 0.5000 0.0000
Ni3 0.5000 0.5000 0.5000
As1 0.2034 0.5277 0.4723
As2 0.4723 0.7966 0.2034
As3 0.5277 0.2034 0.7966
As4 0.7966 0.4723 0.5277

formation energy from the elements: -0.291 eV/atom

## Ac2PuHg8 (PBE)

Data for a geometry-optimized Ac2PuHg8 structure.

Cell: 8.6522 8.6522 8.6522 Å, 143.40 124.45 68.37°
Fractional coordinates of all 11 atoms:
Ac1 0.2080 0.2080 0.0000
Ac2 0.7920 0.7920 0.0000
Pu1 0.5000 0.5000 0.0000
Hg1 0.0631 0.3712 0.6919
Hg2 0.2149 0.0000 0.2149
Hg3 0.3207 0.6288 0.6919
Hg4 0.3543 0.8543 0.5000
Hg5 0.6457 0.1457 0.5000
Hg6 0.6793 0.3712 0.3081
Hg7 0.7851 0.0000 0.7851
Hg8 0.9369 0.6288 0.3081

formation energy from the elements: -0.274 eV/atom

## DyYZn (PBE)

Data for a geometry-optimized DyYZn structure.

Cell: 4.6795 4.6795 7.3614 Å, 90.00 90.00 90.00°
Fractional coordinates of all 6 atoms:
Dy1 0.2500 0.7500 0.0000
Dy2 0.7500 0.2500 0.0000
Y1 0.2500 0.2500 0.3690
Y2 0.7500 0.7500 0.6310
Zn1 0.2500 0.2500 0.7521
Zn2 0.7500 0.7500 0.2479

formation energy from the elements: -0.141 eV/atom
offset from the most stable computed form: 78 meV per atom

## Ca4AlIn3 (PBE)

Data for a geometry-optimized Ca4AlIn3 structure.

Cell: 3.8028 3.8028 15.4103 Å, 90.00 90.00 90.00°
Fractional coordinates of all 8 atoms:
Ca1 0.0000 0.0000 0.1173
Ca2 0.0000 0.0000 0.3716
Ca3 0.0000 0.0000 0.6284
Ca4 0.0000 0.0000 0.8827
Al1 0.5000 0.5000 0.0000
In1 0.5000 0.5000 0.2432
In2 0.5000 0.5000 0.5000
In3 0.5000 0.5000 0.7568

formation energy from the elements: -0.392 eV/atom

## Zn2TcPt (PBE)

Data for a geometry-optimized Zn2TcPt structure.

Cell: 8.8917 8.8917 8.8917 Å, 18.01 18.01 18.01°
Fractional coordinates of all 4 atoms:
Zn1 0.2501 0.2501 0.2501
Zn2 0.7499 0.7499 0.7499
Tc1 0.0000 0.0000 0.0000
Pt1 0.5000 0.5000 0.5000

formation energy from the elements: -0.129 eV/atom
offset from the most stable computed form: 12 meV per atom

Results for volume: 29.87, 31.77, 20.78, 28.78, 22.88, 34.70, 34.63, 18.64, 17.48, 38.19, 15.99, 25.90, 24.04, 34.05, 12.87, 18.58, 28.50, 26.87, 27.86, 14.67 (in A^3/atom, following the order of the records).